1.
# SrPmAlSe4

An optimized crystal structure of SrPmAlSe4 (PBE, the Alexandria database).

Geometry as extended XYZ:
```
14
Lattice="6.889 0.000 0.000 0.000 7.010 0.000 -2.484 0.000 8.055" Properties=species:S:1:pos:R:3 pbc="T T T"
Sr 1.551 1.752 0.490
Sr 2.853 5.257 7.565
Pm 0.171 1.752 4.473
Pm 4.233 5.257 3.582
Al 0.851 5.257 2.543
Al 3.553 1.752 5.512
Se -1.808 3.550 5.939
Se -1.808 6.964 5.939
Se 2.675 5.257 1.042
Se 1.536 5.257 4.804
Se 2.868 1.752 3.251
Se 1.730 1.752 7.013
Se 6.212 0.046 2.117
Se 6.212 3.459 2.117
```

---

2.
# Cr2InTe

An optimized crystal structure of Cr2InTe (PBE, the Alexandria database).

energy above the lowest structure with this stoichiometry = 297 meV per atom
Fermi-level density of states = 0.700 states/eV/atom

Geometry as extended XYZ:
```
4
Lattice="0.000 3.479 3.479 3.479 0.000 3.479 3.479 3.479 0.000" Properties=species:S:1:pos:R:3 pbc="T T T"
Cr 0.000 0.000 0.000
Cr 1.739 1.739 1.739
In 3.479 3.479 3.479
Te 5.218 5.218 5.218
```

---

3.
# Zr2V2Si

An optimized crystal structure of Zr2V2Si (PBE, the Alexandria database).

Fermi-level density of states = 0.880 states/eV/atom

Geometry as extended XYZ:
```
10
Lattice="6.564 0.000 0.000 0.000 6.564 0.000 0.000 0.000 4.058" Properties=species:S:1:pos:R:3 pbc="T T T"
Zr 1.165 2.117 0.000
Zr 2.117 5.399 0.000
Zr 4.447 1.165 0.000
Zr 5.399 4.447 0.000
V 0.834 4.116 2.029
V 2.448 0.834 2.029
V 4.116 5.730 2.029
V 5.730 2.448 2.029
Si 0.000 0.000 2.029
Si 3.282 3.282 2.029
```

---

Number 1: formation energy from raw total energies -1.564 eV per atom, calculated total energy -35.06 eV per formula unit. Number 2: formation energy from raw total energies 0.567 eV per atom, calculated total energy -22.86 eV per formula unit. Number 3: formation energy from raw total energies -0.118 eV per atom, calculated total energy -41.34 eV per formula unit.